VASP calculation (SCAN) on a PBEsol-optimized structure of TiSbCl3.

Properties
Magnetic moment (μB/f.u.): 4.00
E_form (uncorrected) (eV per formula unit): -3.72

abc: 4.8827 4.8827 4.8827
angles: 90.00 90.00 90.00
With the nearest neighbours (Å) after each atom.
Space group Pm-3m (No. 221)
One atom of each set of equivalent atoms:
Ti (0.0000, 0.0000, 0.0000) [1 per cell]  6 Cl 2.44
Sb (0.5000, 0.5000, 0.5000) [1 per cell]  12 Cl 3.45
Cl (0.0000, 0.0000, 0.5000) [3 per cell]  2 Ti 2.44